(1)
Density functional theory data (GGA-PBE) for an optimized crystal structure of TbLuAgAu.

The structure in POSCAR format:
```
TbLuAgAu
1.0
5.073 0.000 0.000
2.536 4.393 0.000
2.536 1.464 4.142
Ag Lu Au Tb
1 1 1 1
direct
0.250 0.250 0.250
0.500 0.500 0.500
0.750 0.750 0.750
0.000 0.000 0.000
```

Properties
As for the space group: F-43m. The calculated volume is 92.3 Å³/cell. As for the magnetization: 0.00 μB/cell. For the total DFT energy (no corrections), the calculation gives -17.67 eV per cell.

=====

(2)
Density functional theory data (GGA-PBE) for an optimized crystal structure of CaTeCl3.

The structure in POSCAR format:
```
CaTeCl3
1.0
-5.069 -0.610 1.791
1.867 -2.457 4.445
0.312 4.782 2.513
Cl Ca Te
3 1 1
direct
0.000 0.000 0.500
0.000 0.500 0.000
0.500 0.000 0.000
0.000 0.000 0.000
0.500 0.500 0.500
```

Properties
As for the space group: Pm-3m. The calculated volume is 158.4 Å³/cell. As for the magnetization: 3.00 μB/cell. The energy relative to the elements, uncorrected comes out at -1.12 eV/atom. The value obtained for the distance to the lowest polymorph of the same formula is 0 meV per atom.